PmH2OsO8 | PBE-GGA | relaxed

- space-group type = No. 2
- total DFT energy (no corrections) (eV/cell) = -76.03
- crystal system = triclinic
- density (g/cm3) = 5.4

Cell and atoms, written as extended XYZ:
```
12
Lattice="4.7709 0.0000 0.0000 -1.4440 4.7326 0.0000 -0.5406 -0.4261 6.3197" Properties=species:S:1:pos:R:3 pbc="T T T"
Pm 0.0000 0.0000 0.0000
H 0.5487 3.6269 1.9160
H 2.2376 0.6795 4.4037
Os -0.9923 2.1532 3.1599
O -0.8237 3.3278 4.5195
O -0.4308 3.5695 1.8219
O 0.9145 1.6355 3.3508
O 0.9760 1.2966 6.2801
O 1.8103 3.0098 0.0396
O 1.8718 2.6709 2.9689
O 3.2171 0.7370 4.4978
O 3.6100 0.9786 1.8002
```